{
  "formula": "TbDyRh",
  "functional": "PBE",
  "state": "optimized geometry",
  "rho_g_cm3": 9.58,
  "e_tot_ev_per_atom": -5.94,
  "formation_enthalpy_0k_ev_per_atom": -0.4073,
  "de_polymorph_mev_per_atom": 230,
  "vol_a3_per_atom": 24.506,
  "lattice": [[4.563, 0.000, 0.000], [-2.281, 3.951, 0.000], [0.000, 0.000, 4.078]],
  "species": ["Tb", "Dy", "Rh"],
  "fractional_positions": [[0.000, 0.000, 0.000], [0.667, 0.333, 0.533], [0.333, 0.667, 0.271]]
}